Density functional theory data (PBE) for CsZnSbAu after structural relaxation.

extended XYZ file:
```
8
Lattice="4.122 0.000 0.000 0.000 4.122 0.000 0.000 0.000 14.762" Properties=species:S:1:pos:R:3 pbc="T T T"
Cs 1.031 1.031 3.060
Cs 3.092 3.092 11.702
Zn 1.031 3.092 7.381
Zn 3.092 1.031 7.381
Sb 1.031 1.031 9.160
Sb 3.092 3.092 5.602
Au 1.031 3.092 0.000
Au 3.092 1.031 0.000
```

## Properties
- DFT total energy: -2.596 eV/atom
- Density of states at the Fermi level: 3.699 states/eV per cell